Below is HgMoPb2 after structural relaxation, with properties calculated at the PBE level.

Geometry as CIF:
```
data_HgMoPb2
_symmetry_space_group_name_H-M 'R 3 m'
_symmetry_Int_Tables_number 160
_symmetry_space_group_name_Hall 'R 3 -2"'
_cell_length_a 3.2132
_cell_length_b 3.2132
_cell_length_c 33.3741
_cell_angle_alpha 90.00
_cell_angle_beta 90.00
_cell_angle_gamma 120.00
loop_
_atom_site_label
_atom_site_fract_x
_atom_site_fract_y
_atom_site_fract_z
_atom_site_occupancy
Hg1 0.0000 0.0000 0.0000 1
Mo1 0.0000 0.0000 0.2652 1
Pb1 0.0000 0.0000 0.5266 1
Pb2 0.0000 0.0000 0.7506 1
```

Computed properties:
E_form = 0.5147 eV/atom